Density functional theory data (PBE) for an optimized crystal structure of MgTl2AgBr5.

Results
* spin magnetization: 0.00 μB/f.u.
* SG: Cmc2_1, No. 36
* E_tot: -2.8847 eV/atom

Cell: 4.1804 10.2046 13.8865 Å, 90.00 90.00 101.82°
Closest atoms and distances in Å follow each position.
Sites, in units of the cell vectors:
Mg1 0.7836 0.5671 0.5220  6 Br 2.67-2.78
Mg2 0.2164 0.4329 0.0220  6 Br 2.67-2.78
Tl1 0.8711 0.7421 0.8082  8 Br 3.30-3.66
Tl2 0.1127 0.2253 0.6832  5 Br 3.30-3.36
Tl3 0.1289 0.2579 0.3082  8 Br 3.30-3.66
Tl4 0.8873 0.7747 0.1832  5 Br 3.30-3.36
Ag1 0.5616 0.1233 0.9346  3 Br 2.59-2.70
Ag2 0.4384 0.8767 0.4346  3 Br 2.59-2.70
Br1 0.3493 0.6987 0.0048  1 Mg 2.67
Br2 0.7052 0.4103 0.8905  2 Mg 2.78, 1 Ag 2.93
Br3 0.4966 0.9932 0.7736  1 Ag 2.59
Br4 0.2764 0.5528 0.6540  2 Mg 2.78
Br5 0.9169 0.8338 0.5531  2 Ag 2.70, 1 Mg 2.70
Br6 0.6507 0.3013 0.5048  1 Mg 2.67
Br7 0.2948 0.5897 0.3905  2 Mg 2.78, 1 Ag 2.93
Br8 0.5034 0.0068 0.2736  1 Ag 2.59
Br9 0.7236 0.4472 0.1540  2 Mg 2.78
Br10 0.0831 0.1662 0.0531  2 Ag 2.70, 1 Mg 2.70

---

Density functional theory data (PBE) for an optimized crystal structure of MgTlAg2Br6.

Results
* spin magnetization: 0.00 μB/f.u.
* SG: C2/c, No. 15
* E_tot: -2.6476 eV/atom

Cell: 8.9257 9.8192 9.8192 Å, 82.26 70.14 70.14°
Closest atoms and distances in Å follow each position.
Sites, in units of the cell vectors:
Mg1 0.2500 0.1604 0.8396  4 Br 2.48-2.57
Mg2 0.7500 0.8396 0.1604  4 Br 2.48-2.57
Tl1 0.2500 0.8129 0.1871  6 Br 3.32-3.62
Tl2 0.7500 0.1871 0.8129  6 Br 3.32-3.62
Ag1 0.3812 0.7379 0.6466  4 Br 2.59-2.85
Ag2 0.1188 0.3534 0.2621  4 Br 2.59-2.85
Ag3 0.6188 0.2621 0.3534  4 Br 2.59-2.85
Ag4 0.8812 0.6466 0.7379  4 Br 2.59-2.85
Br1 0.1736 0.9295 0.8453  1 Mg 2.57, 1 Ag 2.63
Br2 0.3264 0.1547 0.0705  1 Mg 2.57, 1 Ag 2.63
Br3 0.8264 0.0705 0.1547  1 Mg 2.57, 1 Ag 2.63
Br4 0.6736 0.8453 0.9295  1 Mg 2.57, 1 Ag 2.63
Br5 0.4861 0.8599 0.3636  1 Mg 2.48
Br6 0.0139 0.6364 0.1401  1 Mg 2.48
Br7 0.5139 0.1401 0.6364  1 Mg 2.48
Br8 0.9861 0.3636 0.8599  1 Mg 2.48
Br9 0.1553 0.6840 0.5599  2 Ag 2.59-2.66
Br10 0.3447 0.4401 0.3160  2 Ag 2.59-2.66
Br11 0.8447 0.3160 0.4401  2 Ag 2.59-2.66
Br12 0.6553 0.5599 0.6840  2 Ag 2.59-2.66

---

Density functional theory data (PBE) for an optimized crystal structure of Mn2AgBr.

Results
* spin magnetization: 8.01 μB/f.u.
* SG: F-43m, No. 216
* E_tot: -4.9268 eV/atom

Cell: 4.7582 4.7582 4.7582 Å, 60.00 60.00 60.00°
Closest atoms and distances in Å follow each position.
Sites, in units of the cell vectors:
Ag1 0.5000 0.5000 0.5000  4 Mn 2.91, 4 Br 2.91
Br1 0.7500 0.7500 0.7500  4 Mn 2.91, 4 Ag 2.91
Mn1 0.0000 0.0000 0.0000  4 Mn 2.91, 4 Br 2.91
Mn2 0.2500 0.2500 0.2500  4 Mn 2.91, 4 Ag 2.91

---

Density functional theory data (PBE) for an optimized crystal structure of MnAg3Br.

Results
* spin magnetization: 4.46 μB/f.u.
* SG: Pm-3m, No. 221
* E_tot: -3.0714 eV/atom

Cell: 5.0809 5.0809 5.0809 Å, 90.00 90.00 90.00°
Closest atoms and distances in Å follow each position.
Sites, in units of the cell vectors:
Mn1 0.0000 0.0000 0.0000  6 Ag 2.54
Br1 0.5000 0.5000 0.5000  12 Ag 3.59
Ag1 0.0000 0.5000 0.0000  2 Mn 2.54
Ag2 0.0000 0.0000 0.5000  2 Mn 2.54
Ag3 0.5000 0.0000 0.0000  2 Mn 2.54

---

Density functional theory data (PBE) for an optimized crystal structure of Mn2Ag3Br8.

Results
* spin magnetization: 8.93 μB/f.u.
* SG: C2/m, No. 12
* E_tot: -3.5974 eV/atom

Cell: 7.3968 8.3894 7.8118 Å, 122.48 86.03 90.00°
Closest atoms and distances in Å follow each position.
Sites, in units of the cell vectors:
Mn1 0.8329 0.8038 0.6077  4 Br 2.46-2.50
Mn2 0.1671 0.1962 0.3923  4 Br 2.46-2.50
Ag1 0.5000 0.0000 0.0000  4 Br 2.77
Ag2 0.0000 0.2525 0.0000  6 Br 2.82-3.01
Ag3 0.0000 0.7475 0.0000  6 Br 2.82-3.01
Br1 0.1705 0.3830 0.7659  1 Mn 2.46
Br2 0.8295 0.6170 0.2341  1 Mn 2.46
Br3 0.1418 0.8678 0.7357  1 Mn 2.50
Br4 0.8582 0.1322 0.2643  1 Mn 2.50
Br5 0.3279 0.8872 0.2422  1 Mn 2.46
Br6 0.3279 0.3550 0.2422  1 Mn 2.46
Br7 0.6721 0.6450 0.7578  1 Mn 2.46
Br8 0.6721 0.1128 0.7578  1 Mn 2.46

---

Density functional theory data (PBE) for an optimized crystal structure of MnAg6Br12.

Results
* spin magnetization: 2.75 μB/f.u.
* SG: R-3, No. 148
* E_tot: -2.7743 eV/atom

Cell: 8.4276 8.4276 8.4276 Å, 85.34 85.34 85.34°
Closest atoms and distances in Å follow each position.
Sites, in units of the cell vectors:
Mn1 0.0000 0.0000 0.0000  6 Br 2.49
Ag1 0.1086 0.2957 0.6005  4 Br 2.64-2.81
Ag2 0.7043 0.3995 0.8914  4 Br 2.64-2.81
Ag3 0.3995 0.8914 0.7043  4 Br 2.64-2.81
Ag4 0.8914 0.7043 0.3995  4 Br 2.64-2.81
Ag5 0.2957 0.6005 0.1086  4 Br 2.64-2.81
Ag6 0.6005 0.1086 0.2957  4 Br 2.64-2.81
Br1 0.4106 0.1857 0.5677  3 Ag 2.64-2.78
Br2 0.1857 0.5677 0.4106  3 Ag 2.64-2.78
Br3 0.5677 0.4106 0.1857  3 Ag 2.64-2.78
Br4 0.5894 0.8143 0.4323  3 Ag 2.64-2.78
Br5 0.8143 0.4323 0.5894  3 Ag 2.64-2.78
Br6 0.4323 0.5894 0.8143  3 Ag 2.64-2.78
Br7 0.0307 0.9846 0.7047  1 Mn 2.49
Br8 0.2953 0.9693 0.0154  1 Mn 2.49
Br9 0.0154 0.2953 0.9693  1 Mn 2.49
Br10 0.9693 0.0154 0.2953  1 Mn 2.49
Br11 0.7047 0.0307 0.9846  1 Mn 2.49
Br12 0.9846 0.7047 0.0307  1 Mn 2.49